Density functional theory data (GGA-PBE) for crystalline LiEr at its relaxed geometry.

CIF file:
```
data_LiEr
_cell_length_a 3.3203
_cell_length_b 3.3203
_cell_length_c 5.3759
_cell_angle_alpha 90.00
_cell_angle_beta 90.00
_cell_angle_gamma 120.00
_space_group_name_H-M_alt 'P -6 m 2'
_space_group_IT_number 187
_space_group_name_Hall 'P -6 2'
loop_
_atom_site_label
_atom_site_fract_x
_atom_site_fract_y
_atom_site_fract_z
Li1 0.0000 0.0000 0.0000
Er1 0.3333 0.6667 0.5000
```

Size of the total moment (Bohr magnetons per cell): 0.00
Density (g/cm³): 5.6
V (Å³/f.u.): 51

***

Density functional theory data (GGA-PBE) for crystalline LiEr at its relaxed geometry.

CIF file:
```
data_LiEr
_cell_length_a 5.933
_cell_length_b 5.933
_cell_length_c 5.933
_cell_angle_alpha 90.00
_cell_angle_beta 90.00
_cell_angle_gamma 90.00
_space_group_name_H-M_alt 'F m -3 m'
_space_group_IT_number 225
_space_group_name_Hall '-F 4 2 3'
loop_
_atom_site_label
_atom_site_fract_x
_atom_site_fract_y
_atom_site_fract_z
Li1 0.000 0.000 0.000
Er1 0.000 0.000 0.500
```

Size of the total moment (Bohr magnetons per cell): 0.03
Density (g/cm³): 5.5
V (Å³/f.u.): 52

***

Density functional theory data (GGA-PBE) for crystalline Li2Er at its relaxed geometry.

CIF file:
```
data_Li2Er
_cell_length_a 3.548
_cell_length_b 14.886
_cell_length_c 4.933
_cell_angle_alpha 90.00
_cell_angle_beta 90.00
_cell_angle_gamma 90.00
_space_group_name_H-M_alt 'C m c m'
_space_group_IT_number 63
_space_group_name_Hall '-C 2c 2'
loop_
_atom_site_label
_atom_site_fract_x
_atom_site_fract_y
_atom_site_fract_z
Li1 0.000 0.103 0.250
Li2 0.000 0.259 0.750
Er1 0.000 0.425 0.250
```

Size of the total moment (Bohr magnetons per cell): 0.14
Density (g/cm³): 4.6
V (Å³/f.u.): 65

***

Density functional theory data (GGA-PBE) for crystalline LiErLu at its relaxed geometry.

CIF file:
```
data_LiErLu
_cell_length_a 7.023
_cell_length_b 7.023
_cell_length_c 7.023
_cell_angle_alpha 90.00
_cell_angle_beta 90.00
_cell_angle_gamma 90.00
_space_group_name_H-M_alt 'F -4 3 m'
_space_group_IT_number 216
_space_group_name_Hall 'F -4 2 3'
loop_
_atom_site_label
_atom_site_fract_x
_atom_site_fract_y
_atom_site_fract_z
Li1 0.000 0.000 0.000
Er1 0.250 0.250 0.250
Lu1 0.250 0.250 0.750
```

Size of the total moment (Bohr magnetons per cell): 0.01
Density (g/cm³): 6.7
V (Å³/f.u.): 87

***

Computed energy relative to the lowest polymorph listed for this composition, in the same sequence as the records: 0.038, 0.373, 0.037, 0.000 eV/atom.